Compound: Ga2BRu2
Source: Alexandria via LeMat-Bulk
Functional: PBE
Structure: relaxed

Space group: No. 127
Raw total energy, eV per atom: -5.77

Unit cell a=5.811 b=5.811 c=3.921 alpha=90.00 beta=90.00 gamma=90.00
Sites, in units of the cell vectors:
Ga  0.148  0.352  0.000
Ga  0.648  0.148  0.000
Ga  0.852  0.648  0.000
Ga  0.352  0.852  0.000
Ru  0.832  0.332  0.500
Ru  0.668  0.832  0.500
Ru  0.168  0.668  0.500
Ru  0.332  0.168  0.500
B  0.000  0.000  0.000
B  0.500  0.500  0.000



Compound: Mg2OsAuSe
Source: Alexandria via LeMat-Bulk
Functional: PBE
Structure: relaxed

Space group: No. 123
Formation energy without anion corrections, kJ per mole of atoms: 54

Unit cell a=4.926 b=4.501 c=4.926 alpha=90.00 beta=90.00 gamma=90.00
Sites, in units of the cell vectors:
Au  0.500  0.500  0.500
Mg  0.500  0.000  0.000
Mg  0.000  0.000  0.500
Se  0.000  0.000  0.000
Os  0.000  0.500  0.000



Compound: SbP2RhO
Source: Alexandria via LeMat-Bulk
Functional: PBE
Structure: relaxed

Space group: No. 123
Formation energy without anion corrections, kJ per mole of atoms: 70

Unit cell a=5.007 b=5.007 c=3.786 alpha=90.00 beta=90.00 gamma=90.00
Sites, in units of the cell vectors:
Rh  0.500  0.500  0.500
P  0.000  0.500  0.000
P  0.500  0.000  0.000
O  0.000  0.000  0.500
Sb  0.000  0.000  0.000



Compound: Mn3Tc
Source: Alexandria via LeMat-Bulk
Functional: PBE
Structure: relaxed

Space group: No. 10
Raw total energy, eV per atom: -9.32

Unit cell a=2.540 b=4.111 c=4.760 alpha=90.00 beta=80.44 gamma=90.00
Sites, in units of the cell vectors:
Mn  0.250  0.500  0.250
Mn  0.487  0.000  0.487
Mn  0.013  0.000  0.013
Tc  0.750  0.500  0.750



Compound: Sm4DyHo15
Source: Alexandria via LeMat-Bulk
Functional: PBE
Structure: relaxed

Space group: No. 123
Raw total energy, eV per atom: -4.59

Unit cell a=5.016 b=5.016 c=25.032 alpha=90.00 beta=90.00 gamma=90.00
Sites, in units of the cell vectors:
Ho  0.500  0.000  0.500
Ho  0.000  0.500  0.300
Ho  0.000  0.500  0.099
Ho  0.000  0.500  0.700
Ho  0.500  0.500  0.199
Ho  0.500  0.500  0.801
Ho  0.500  0.000  0.099
Ho  0.000  0.500  0.901
Ho  0.500  0.500  0.600
Ho  0.500  0.000  0.901
Ho  0.500  0.500  0.400
Ho  0.500  0.000  0.300
Ho  0.000  0.500  0.500
Ho  0.500  0.500  0.000
Ho  0.500  0.000  0.700
Dy  0.000  0.000  0.000
Sm  0.000  0.000  0.800
Sm  0.000  0.000  0.600
Sm  0.000  0.000  0.400
Sm  0.000  0.000  0.200



Compound: Li2ScCl
Source: Alexandria via LeMat-Bulk
Functional: PBE
Structure: relaxed

Space group: No. 123
Formation energy without anion corrections, kJ per mole of atoms: -57

Unit cell a=3.122 b=3.122 c=8.199 alpha=90.00 beta=90.00 gamma=90.00
Sites, in units of the cell vectors:
Li  0.000  0.000  0.570
Li  0.000  0.000  0.930
Sc  0.500  0.500  0.250
Cl  0.500  0.500  0.750



Compound: Na3Sm2TmTe6
Source: Alexandria via LeMat-Bulk
Functional: PBE
Structure: relaxed

Space group: No. 12
Formation energy without anion corrections, kJ per mole of atoms: -127

Unit cell a=7.730 b=7.730 c=8.001 alpha=99.28 beta=99.28 gamma=120.01
Sites, in units of the cell vectors:
Na  0.831  0.169  0.500
Na  0.169  0.831  0.500
Na  0.500  0.500  0.500
Te  0.596  0.922  0.766
Te  0.247  0.247  0.766
Te  0.078  0.404  0.234
Te  0.753  0.753  0.234
Te  0.922  0.596  0.766
Te  0.404  0.078  0.234
Sm  0.334  0.666  0.000
Sm  0.666  0.334  0.000
Tm  0.000  0.000  0.000



Compound: V2CrSe4
Source: Alexandria via LeMat-Bulk
Functional: PBE
Structure: relaxed

Space group: No. 12
Formation energy without anion corrections, kJ per mole of atoms: -63

Unit cell a=3.436 b=6.182 c=7.029 alpha=118.02 beta=104.15 gamma=90.00
Sites, in units of the cell vectors:
V  0.256  0.190  0.511
V  0.744  0.810  0.489
Se  0.893  0.239  0.786
Se  0.359  0.699  0.718
Se  0.641  0.301  0.282
Se  0.107  0.761  0.214
Cr  0.000  0.000  0.000